! Na3In8Pb (PBE, optimized geometry); values from VASP
&SYSTEM
  ibrav = 0, nat = 12, ntyp = 3
/
ATOMIC_SPECIES
Na 22.99 Na.upf
In 114.82 In.upf
Pb 207.20 Pb.upf
CELL_PARAMETERS angstrom
-3.458 5.129 -1.181
-1.490 -3.759 4.828
5.873 5.333 5.965
ATOMIC_POSITIONS angstrom
Na 5.481 4.977 5.567
In 1.918 4.728 6.263
In 0.781 1.861 5.797
Na -0.252 4.481 3.411
In 3.713 4.524 8.776
In 0.431 0.948 2.855
In -0.339 -0.995 5.351
Pb 3.339 3.032 3.391
Na -2.393 2.537 1.237
In 2.640 6.549 3.924
In -2.127 1.657 4.741
In 0.243 7.213 5.691
! Space-group type: P3m1, No. 156
! D(E_F): 5.36 states/eV/f.u.
! Final energy: -30.5 eV/f.u.
! Crystal system: trigonal

***

! Na3In2Pb3 (PBE, optimized geometry); values from VASP
&SYSTEM
  ibrav = 0, nat = 8, ntyp = 3
/
ATOMIC_SPECIES
Na 22.99 Na.upf
Pb 207.20 Pb.upf
In 114.82 In.upf
CELL_PARAMETERS angstrom
4.822 0.000 -0.628
0.000 4.830 0.000
-1.156 -2.415 9.819
ATOMIC_POSITIONS angstrom
Na 2.721 0.000 2.083
Pb 0.311 2.415 2.429
In 3.044 2.415 4.490
Na 0.000 0.000 0.000
In 0.621 0.000 4.702
Na 0.944 2.415 7.109
Pb 2.411 2.415 -0.314
Pb 3.354 0.000 6.763
! Space-group type: C2/m, No. 12
! D(E_F): 3.85 states/eV/f.u.
! Energy above the most stable polymorph in this dataset: 0 meV/atom
! Crystal system: monoclinic

***

! Na2InPb (PBE, optimized geometry); values from VASP
&SYSTEM
  ibrav = 0, nat = 8, ntyp = 3
/
ATOMIC_SPECIES
In 114.82 In.upf
Na 22.99 Na.upf
Pb 207.20 Pb.upf
CELL_PARAMETERS angstrom
-6.661 -1.314 5.615
5.756 -1.009 6.593
-0.576 1.971 6.691
ATOMIC_POSITIONS angstrom
In 2.364 -0.100 9.694
Na -1.234 -0.553 15.687
Na -3.575 -0.452 5.995
Na 2.609 -0.305 6.506
Pb 0.000 0.000 0.000
Pb -3.844 -0.253 9.205
Na -0.760 0.605 9.609
In -0.452 -1.162 6.104
! Space-group type: I-42d, No. 122
! D(E_F): 1.67 states/eV/f.u.
! Energy above the most stable polymorph in this dataset: 161 meV/atom
! Crystal system: tetragonal

***

! Na2In2Pb5 (PBE, optimized geometry); values from VASP
&SYSTEM
  ibrav = 0, nat = 18, ntyp = 3
/
ATOMIC_SPECIES
Pb 207.20 Pb.upf
In 114.82 In.upf
Na 22.99 Na.upf
CELL_PARAMETERS angstrom
8.910 0.000 0.000
0.000 8.216 0.000
-4.455 -4.108 7.697
ATOMIC_POSITIONS angstrom
Pb -1.305 4.478 3.849
In 3.841 0.999 6.340
Pb 1.207 2.269 2.247
Pb 3.249 -1.839 5.451
Pb -1.934 2.364 6.355
Na 4.455 4.069 0.000
Pb 6.976 2.364 1.343
In 0.614 -3.109 6.340
In 0.614 5.107 1.357
Na 4.256 3.488 3.849
Pb 6.389 6.472 1.343
Pb 5.760 0.370 3.849
Na 0.199 -0.620 3.849
In 3.841 0.999 1.357
Pb 3.249 6.377 2.247
Pb -2.521 -1.743 6.355
Pb 1.207 2.269 5.451
Na 0.000 8.177 0.000
! Space-group type: Ima2, No. 46
! D(E_F): 4.84 states/eV/f.u.
! Energy above the most stable polymorph in this dataset: 6 meV/atom
! Crystal system: orthorhombic